DFT (PBE) results for a relaxed RbBiI2 crystal.

Lattice parameters (Å, degrees): 6.1081 6.1081 6.1081 60.00 60.00 60.00
With the nearest neighbours (Å) after each atom.
Fractional coordinates of all 4 atoms:
Rb 0.0000 0.0000 0.0000  8 I 3.74
Bi 0.5000 0.5000 0.5000  8 I 3.74
I 0.2500 0.2500 0.2500  4 Bi 3.74, 4 Rb 3.74
I 0.7500 0.7500 0.7500  4 Rb 3.74, 4 Bi 3.74

## Properties
- ΔE_f (raw) (eV/atom) = -0.363
- energy relative to the lowest polymorph listed for this composition (eV/f.u.) = 0.54

DFT (PBE) results for a relaxed RbBiI crystal.

Lattice parameters (Å, degrees): 6.9144 7.0325 7.4205 88.63 84.14 69.66
With the nearest neighbours (Å) after each atom.
Fractional coordinates of all 6 atoms:
Rb 0.2467 0.4205 0.2544  4 I 3.66-3.82
Rb 0.7533 0.5795 0.7456  4 I 3.66-3.82
Bi 0.1819 0.9312 0.5732  1 Bi 2.69
Bi 0.8181 0.0688 0.4268  1 Bi 2.69
I 0.3200 0.3826 0.7593  4 Rb 3.66-3.82, 3 Bi 3.89-4.01
I 0.6800 0.6174 0.2407  4 Rb 3.66-3.82, 3 Bi 3.89-4.01

## Properties
- ΔE_f (raw) (eV/atom) = -0.620

DFT (PBE) results for a relaxed Rb2Bi2I7 crystal.

Lattice parameters (Å, degrees): 10.0135 10.0135 7.6456 94.80 94.80 114.44
With the nearest neighbours (Å) after each atom.
Fractional coordinates of all 11 atoms:
Rb 0.2029 0.7971 0.0000  6 I 3.67-3.96
Rb 0.7971 0.2029 0.0000  6 I 3.67-3.96
Bi 0.2340 0.2340 0.6111  4 I 2.96-3.13
Bi 0.7660 0.7660 0.3889  4 I 2.96-3.13
I 0.0787 0.0787 0.2564  1 Bi 2.96
I 0.0889 0.4277 0.7495  1 Bi 3.04
I 0.4277 0.0889 0.7495  1 Bi 3.04
I 0.5000 0.5000 0.5000  2 Bi 3.13
I 0.5723 0.9111 0.2505  1 Bi 3.04
I 0.9111 0.5723 0.2505  1 Bi 3.04
I 0.9213 0.9213 0.7436  1 Bi 2.96

## Properties
- ΔE_f (raw) (eV/atom) = -0.715

DFT (PBE) results for a relaxed Rb3BiI6 crystal.

Lattice parameters (Å, degrees): 9.2631 9.2631 9.2631 60.00 60.00 60.00
With the nearest neighbours (Å) after each atom.
Fractional coordinates of all 10 atoms:
Rb 0.0000 0.0000 0.0000  6 I 3.47
Rb 0.2500 0.2500 0.2500  12 I 4.64
Rb 0.7500 0.7500 0.7500  12 I 4.64
Bi 0.5000 0.5000 0.5000  6 I 3.08
I 0.2648 0.2648 0.7352  1 Bi 3.08
I 0.2648 0.7352 0.2648  1 Bi 3.08
I 0.2648 0.7352 0.7352  1 Bi 3.08
I 0.7352 0.2648 0.2648  1 Bi 3.08
I 0.7352 0.2648 0.7352  1 Bi 3.08
I 0.7352 0.7352 0.2648  1 Bi 3.08

## Properties
- ΔE_f (raw) (eV/atom) = -1.012
- energy relative to the lowest polymorph listed for this composition (eV/f.u.) = 0.75

DFT (PBE) results for a relaxed Rb3Bi5I12 crystal.

Lattice parameters (Å, degrees): 18.0824 18.0824 18.0824 109.47 109.47 109.47
With the nearest neighbours (Å) after each atom.
Fractional coordinates of all 80 atoms:
Rb 0.1250 0.2500 0.3750  8 I 4.07-4.33
Rb 0.1250 0.3750 0.7500  8 I 4.07-4.33
Rb 0.2500 0.3750 0.1250  8 I 4.07-4.33
Rb 0.2500 0.8750 0.6250  8 I 4.07-4.33
Rb 0.3750 0.1250 0.2500  8 I 4.07-4.33
Rb 0.3750 0.7500 0.1250  8 I 4.07-4.33
Rb 0.6250 0.2500 0.8750  8 I 4.07-4.33
Rb 0.6250 0.8750 0.7500  8 I 4.07-4.33
Rb 0.7500 0.1250 0.3750  8 I 4.07-4.33
Rb 0.7500 0.6250 0.8750  8 I 4.07-4.33
Rb 0.8750 0.6250 0.2500  8 I 4.07-4.33
Rb 0.8750 0.7500 0.6250  8 I 4.07-4.33
Bi 0.0000 0.0000 0.0000  6 I 3.22
Bi 0.0000 0.0000 0.5000  6 I 3.22
Bi 0.0000 0.5000 0.0000  6 I 3.22
Bi 0.0000 0.5000 0.5000  6 I 3.22
Bi 0.1250 0.7500 0.8750  4 I 3.10
Bi 0.1250 0.8750 0.2500  4 I 3.10
Bi 0.2500 0.1250 0.8750  4 I 3.10
Bi 0.2500 0.6250 0.3750  4 I 3.10
Bi 0.3750 0.2500 0.6250  4 I 3.10
Bi 0.3750 0.6250 0.7500  4 I 3.10
Bi 0.5000 0.0000 0.0000  6 I 3.22
Bi 0.5000 0.0000 0.5000  6 I 3.22
Bi 0.5000 0.5000 0.0000  6 I 3.22
Bi 0.5000 0.5000 0.5000  6 I 3.22
Bi 0.6250 0.3750 0.2500  4 I 3.10
Bi 0.6250 0.7500 0.3750  4 I 3.10
Bi 0.7500 0.3750 0.6250  4 I 3.10
Bi 0.7500 0.8750 0.1250  4 I 3.10
Bi 0.8750 0.1250 0.7500  4 I 3.10
Bi 0.8750 0.2500 0.1250  4 I 3.10
I 0.0141 0.1897 0.1116  2 Bi 3.10-3.22
I 0.0141 0.3245 0.9025  2 Bi 3.10-3.22
I 0.0780 0.6897 0.6755  2 Bi 3.10-3.22
I 0.0780 0.8884 0.4025  2 Bi 3.10-3.22
I 0.0975 0.6116 0.4220  2 Bi 3.10-3.22
I 0.0975 0.9859 0.6755  2 Bi 3.10-3.22
I 0.1116 0.0141 0.1897  2 Bi 3.10-3.22
I 0.1116 0.5975 0.9220  2 Bi 3.10-3.22
I 0.1755 0.1897 0.5780  2 Bi 3.10-3.22
I 0.1755 0.4859 0.5975  2 Bi 3.10-3.22
I 0.1897 0.1116 0.0141  2 Bi 3.10-3.22
I 0.1897 0.5780 0.1755  2 Bi 3.10-3.22
I 0.3103 0.3245 0.9220  2 Bi 3.10-3.22
I 0.3103 0.4859 0.3884  2 Bi 3.10-3.22
I 0.3245 0.9025 0.0141  2 Bi 3.10-3.22
I 0.3245 0.9220 0.3103  2 Bi 3.10-3.22
I 0.3884 0.3103 0.4859  2 Bi 3.10-3.22
I 0.3884 0.5780 0.9025  2 Bi 3.10-3.22
I 0.4025 0.0780 0.8884  2 Bi 3.10-3.22
I 0.4025 0.8245 0.5141  2 Bi 3.10-3.22
I 0.4220 0.0975 0.6116  2 Bi 3.10-3.22
I 0.4220 0.8245 0.8103  2 Bi 3.10-3.22
I 0.4859 0.3884 0.3103  2 Bi 3.10-3.22
I 0.4859 0.5975 0.1755  2 Bi 3.10-3.22
I 0.5141 0.4025 0.8245  2 Bi 3.10-3.22
I 0.5141 0.6116 0.6897  2 Bi 3.10-3.22
I 0.5780 0.1755 0.1897  2 Bi 3.10-3.22
I 0.5780 0.9025 0.3884  2 Bi 3.10-3.22
I 0.5975 0.1755 0.4859  2 Bi 3.10-3.22
I 0.5975 0.9220 0.1116  2 Bi 3.10-3.22
I 0.6116 0.4220 0.0975  2 Bi 3.10-3.22
I 0.6116 0.6897 0.5141  2 Bi 3.10-3.22
I 0.6755 0.0780 0.6897  2 Bi 3.10-3.22
I 0.6755 0.0975 0.9859  2 Bi 3.10-3.22
I 0.6897 0.5141 0.6116  2 Bi 3.10-3.22
I 0.6897 0.6755 0.0780  2 Bi 3.10-3.22
I 0.8103 0.4220 0.8245  2 Bi 3.10-3.22
I 0.8103 0.8884 0.9859  2 Bi 3.10-3.22
I 0.8245 0.5141 0.4025  2 Bi 3.10-3.22
I 0.8245 0.8103 0.4220  2 Bi 3.10-3.22
I 0.8884 0.4025 0.0780  2 Bi 3.10-3.22
I 0.8884 0.9859 0.8103  2 Bi 3.10-3.22
I 0.9025 0.0141 0.3245  2 Bi 3.10-3.22
I 0.9025 0.3884 0.5780  2 Bi 3.10-3.22
I 0.9220 0.1116 0.5975  2 Bi 3.10-3.22
I 0.9220 0.3103 0.3245  2 Bi 3.10-3.22
I 0.9859 0.6755 0.0975  2 Bi 3.10-3.22
I 0.9859 0.8103 0.8884  2 Bi 3.10-3.22

## Properties
- ΔE_f (raw) (eV/atom) = -0.467

DFT (PBE) results for a relaxed RbBiI2 crystal.

Lattice parameters (Å, degrees): 10.9781 10.9781 10.9781 144.15 144.15 51.60
With the nearest neighbours (Å) after each atom.
Fractional coordinates of all 8 atoms:
Rb 0.0000 0.0000 0.0000  4 I 3.71
Rb 0.7500 0.2500 0.5000  4 I 3.71
Bi 0.2500 0.7500 0.5000  4 I 3.22
Bi 0.5000 0.5000 0.0000  4 I 3.22
I 0.1993 0.6250 0.0743  2 Bi 3.22
I 0.3750 0.4493 0.5743  2 Bi 3.22
I 0.5507 0.1250 0.9257  2 Bi 3.22
I 0.8750 0.8007 0.4257  2 Bi 3.22

## Properties
- ΔE_f (raw) (eV/atom) = -0.499
- energy relative to the lowest polymorph listed for this composition (eV/f.u.) = 0.00

DFT (PBE) results for a relaxed Rb5Bi2I12 crystal.

Lattice parameters (Å, degrees): 11.2494 11.2494 11.9788 108.00 108.00 46.37
With the nearest neighbours (Å) after each atom.
Fractional coordinates of all 19 atoms:
Rb 0.0000 0.0000 0.0000  6 I 3.71-3.82
Rb 0.2906 0.2906 0.1466  7 I 3.76-3.94
Rb 0.3118 0.3118 0.6656  7 I 3.70-3.98
Rb 0.6882 0.6882 0.3344  7 I 3.70-3.98
Rb 0.7094 0.7094 0.8534  7 I 3.76-3.94
Bi 0.2515 0.7485 0.5000  6 I 3.08-3.15
Bi 0.7485 0.2515 0.5000  6 I 3.08-3.15
I 0.0127 0.0127 0.6888  2 Bi 3.12
I 0.0977 0.5876 0.4302  1 Bi 3.08
I 0.1331 0.5821 0.9420  4 Rb 3.70-3.78, 1 I 3.98
I 0.4124 0.9023 0.5698  1 Bi 3.08
I 0.4179 0.8669 0.0580  4 Rb 3.70-3.78, 1 I 3.98
I 0.4910 0.4910 0.3071  2 Bi 3.15
I 0.5090 0.5090 0.6929  2 Bi 3.15
I 0.5821 0.1331 0.9420  4 Rb 3.70-3.78, 1 I 3.98
I 0.5876 0.0977 0.4302  1 Bi 3.08
I 0.8669 0.4179 0.0580  4 Rb 3.70-3.78, 1 I 3.98
I 0.9023 0.4124 0.5698  1 Bi 3.08
I 0.9873 0.9873 0.3112  2 Bi 3.12

## Properties
- ΔE_f (raw) (eV/atom) = -0.928

DFT (PBE) results for a relaxed RbBiI4 crystal.

Lattice parameters (Å, degrees): 11.0747 11.0747 7.7578 102.35 102.35 125.50
With the nearest neighbours (Å) after each atom.
Fractional coordinates of all 12 atoms:
Rb 0.1751 0.8249 0.7500  6 I 3.73-3.76
Rb 0.8249 0.1751 0.2500  6 I 3.73-3.76
Bi 0.4321 0.5679 0.7500  6 I 3.01-3.26
Bi 0.5679 0.4321 0.2500  6 I 3.01-3.26
I 0.1210 0.4651 0.7756  1 Bi 3.01
I 0.2488 0.3572 0.3005  2 Bi 3.12-3.26
I 0.3572 0.2488 0.8005  2 Bi 3.12-3.26
I 0.4651 0.1210 0.2756  1 Bi 3.01
I 0.5349 0.8790 0.7244  1 Bi 3.01
I 0.6428 0.7512 0.1995  2 Bi 3.12-3.26
I 0.7512 0.6428 0.6995  2 Bi 3.12-3.26
I 0.8790 0.5349 0.2244  1 Bi 3.01

## Properties
- ΔE_f (raw) (eV/atom) = -0.807
- energy relative to the lowest polymorph listed for this composition (eV/f.u.) = 0.00

DFT (PBE) results for a relaxed Rb2BiRuI6 crystal.

Lattice parameters (Å, degrees): 8.3610 8.3610 8.3610 120.19 120.19 89.68
With the nearest neighbours (Å) after each atom.
Fractional coordinates of all 10 atoms:
Rb 0.2500 0.7500 0.5000  12 I 4.17-4.18
Rb 0.7500 0.2500 0.5000  12 I 4.17-4.18
Bi 0.0000 0.0000 0.0000  6 I 3.14-3.16
Ru 0.5000 0.5000 0.0000  6 I 2.76-2.77
I 0.2664 0.2664 0.0000  1 Ru 2.77
I 0.2660 0.2660 0.5319  1 Ru 2.76
I 0.2660 0.7340 0.0000  1 Ru 2.76
I 0.7340 0.2660 0.0000  1 Ru 2.76
I 0.7336 0.7336 0.0000  1 Ru 2.77
I 0.7340 0.7340 0.4681  1 Ru 2.76

## Properties
- ΔE_f (raw) (eV/atom) = -0.545

DFT (PBE) results for a relaxed RbBiSI2 crystal.

Lattice parameters (Å, degrees): 6.3434 6.3434 5.3205 90.00 90.00 90.00
With the nearest neighbours (Å) after each atom.
Fractional coordinates of all 5 atoms:
Rb 0.0000 0.0000 0.0000  8 I 4.14, 4 S 4.49
Bi 0.5000 0.5000 0.5000  2 S 2.66
S 0.5000 0.5000 0.0000  2 Bi 2.66
I 0.0000 0.5000 0.5000  2 Bi 3.17
I 0.5000 0.0000 0.5000  2 Bi 3.17

## Properties
- ΔE_f (raw) (eV/atom) = -0.646
- energy relative to the lowest polymorph listed for this composition (eV/f.u.) = 0.00